The following is a DFT calculation (PBE-GGA) of an optimized crystal structure of SrMgOs2.

Cell lengths 5.5296, 5.5296, 2.6786 Å; angles 90.00, 90.00, 113.65 degrees
Closest atoms and distances in Å follow each position.
Sites, in units of the cell vectors:
Sr 0.0000 0.0000 0.0000  2 Sr 2.68
Mg 0.5000 0.5000 0.0000  2 Mg 2.68
Os 0.0000 0.5000 0.5000  2 Os 2.68
Os 0.5000 0.0000 0.5000  2 Os 2.68

Summary:
Total magnetization   0.0 μB per formula unit
Calculated density   10.898 Mg/m³
Energy of formation from the pure elements   869.8 meV/atom